First-principles (PBE) data for an optimized crystal structure of TcSbTe2, as listed in Alexandria.

Computed properties:
calculated total energy: -41.102 eV for the cell shown

Cell and atoms, written as CIF:
```
data_TcSbTe2
_chemical_formula_sum 'Tc2 Sb2 Te4'
_cell_length_a 4.172
_cell_length_b 5.127
_cell_length_c 10.082
_cell_angle_alpha 90.00
_cell_angle_beta 90.00
_cell_angle_gamma 90.00
_space_group_name_H-M_alt 'A m m 2'
_space_group_IT_number 38
loop_
_space_group_symop_operation_xyz
'x,y,z'
'-x,-y,z'
'-x,y,z'
'x,-y,z'
'x,y+1/2,z+1/2'
'-x,-y+1/2,z+1/2'
'-x,y+1/2,z+1/2'
'x,-y+1/2,z+1/2'
loop_
_atom_site_label
_atom_site_type_symbol
_atom_site_fract_x
_atom_site_fract_y
_atom_site_fract_z
_atom_site_occupancy
Tc1 Tc 0.000 0.000 0.000 1
Sb1 Sb 0.500 0.000 0.828 1
Te1 Te 0.000 0.000 0.497 1
Te2 Te 0.500 0.000 0.177 1
```

***

First-principles (PBE) data for an optimized crystal structure of Nd6Ga3Pd, as listed in Alexandria.

Computed properties:
ΔE_f: -424 meV/atom

Cell and atoms, written as CIF:
```
data_Nd6Ga3Pd
_chemical_formula_sum 'Nd12 Ga6 Pd2'
_cell_length_a 9.033
_cell_length_b 11.904
_cell_length_c 5.183
_cell_angle_alpha 90.00
_cell_angle_beta 90.00
_cell_angle_gamma 90.00
_space_group_name_H-M_alt 'P n n m'
_space_group_IT_number 58
loop_
_space_group_symop_operation_xyz
'x,y,z'
'-x,-y,-z'
'-x,-y,z'
'x,y,-z'
'x+1/2,-y+1/2,-z+1/2'
'-x+1/2,y+1/2,z+1/2'
'-x+1/2,y+1/2,-z+1/2'
'x+1/2,-y+1/2,z+1/2'
loop_
_atom_site_label
_atom_site_type_symbol
_atom_site_fract_x
_atom_site_fract_y
_atom_site_fract_z
_atom_site_occupancy
Nd1 Nd 0.000 0.248 0.000 1
Nd2 Nd 0.168 0.086 0.500 1
Nd3 Nd 0.168 0.418 0.500 1
Ga1 Ga 0.000 0.500 0.000 1
Ga2 Ga 0.167 0.731 0.500 1
Pd1 Pd 0.000 0.000 0.000 1
```

***

First-principles (PBE) data for an optimized crystal structure of Sr2NiBiTe, as listed in Alexandria.

Computed properties:
calculated total energy: -19.339 eV for the cell shown

Cell and atoms, written as CIF:
```
data_Sr2NiBiTe
_chemical_formula_sum 'Sr2 Ni1 Bi1 Te1'
_cell_length_a 5.964
_cell_length_b 5.964
_cell_length_c 4.711
_cell_angle_alpha 90.00
_cell_angle_beta 90.00
_cell_angle_gamma 90.00
_space_group_name_H-M_alt 'P 4/m m m'
_space_group_IT_number 123
_space_group_name_Hall '-P 4 2'
loop_
_atom_site_label
_atom_site_type_symbol
_atom_site_fract_x
_atom_site_fract_y
_atom_site_fract_z
_atom_site_occupancy
Sr1 Sr 0.000 0.500 0.000 1
Ni1 Ni 0.000 0.000 0.000 1
Bi1 Bi 0.000 0.000 0.500 1
Te1 Te 0.500 0.500 0.500 1
```

***

> Number 3 is which compound?

Sr2NiBiTe